First-principles (GGA-PBE) data for a relaxed structure of YHo3Rh4, as listed in Alexandria via LeMat-Bulk.

Values from the calculation:
* DOS(E_F): 4.0 states/eV per cell
* total moment: 0.000 Bohr magnetons per cell
* theoretical density: 10.37 g/cm3
* final energy: -56.7 eV per cell

Cell lengths 4.865, 4.865, 6.735 Å; angles 90.00, 90.00, 90.00 degrees
Space group P4/mmm (No. 123)
Symmetry-distinct sites (fractional):
1 Y 0.000 0.000 0.000 x1
2 Ho 0.000 0.000 0.500 x1
3 Ho 0.500 0.500 0.000 x1
4 Ho 0.500 0.500 0.500 x1
5 Rh 0.000 0.500 0.252 x4

First-principles (GGA-PBE) data for a relaxed structure of Y2HoRh, as listed in Alexandria via LeMat-Bulk.

Values from the calculation:
* DOS(E_F): 5.6 states/eV per cell
* polymorph energy (0 for the lowest one): 142 meV per atom
* total moment: 0.002 Bohr magnetons per cell
* theoretical density: 6.99 g/cm3
* final energy: -26.4 eV per cell

Cell lengths 3.511, 3.511, 8.588 Å; angles 90.00, 90.00, 90.00 degrees
Space group P4/mmm (No. 123)
Symmetry-distinct sites (fractional):
1 Y 0.000 0.000 0.191 x2
2 Ho 0.500 0.500 0.500 x1
3 Rh 0.500 0.500 0.000 x1

First-principles (GGA-PBE) data for a relaxed structure of YHo2Rh, as listed in Alexandria via LeMat-Bulk.

Values from the calculation:
* DOS(E_F): 15.5 states/eV per cell
* polymorph energy (0 for the lowest one): 205 meV per atom
* total moment: 1.891 Bohr magnetons per cell
* theoretical density: 7.59 g/cm3
* final energy: -72.9 eV per cell

Cell lengths 3.7400, 3.7400, 28.2726 Å; angles 90.00, 90.00, 120.00 degrees
Space group R-3m (No. 166, hexagonal axes)
Symmetry-distinct sites (fractional):
1 Y 0.0000 0.0000 0.0000 x3
2 Ho 0.0000 0.0000 0.2264 x6
3 Rh 0.0000 0.0000 0.5000 x3

First-principles (GGA-PBE) data for a relaxed structure of Y2HoRh, as listed in Alexandria via LeMat-Bulk.

Values from the calculation:
* DOS(E_F): 20.4 states/eV per cell
* polymorph energy (0 for the lowest one): 32 meV per atom
* total moment: 0.000 Bohr magnetons per cell
* theoretical density: 6.88 g/cm3
* final energy: -107.2 eV per cell

Cell lengths 3.802, 11.989, 9.433 Å; angles 90.00, 90.00, 90.00 degrees
Space group Cmcm (No. 63)
Symmetry-distinct sites (fractional):
1 Y 0.000 0.138 0.068 x8
2 Ho 0.000 0.422 0.250 x4
3 Rh 0.000 0.252 0.750 x4

First-principles (GGA-PBE) data for a relaxed structure of YHo3Rh, as listed in Alexandria via LeMat-Bulk.

Values from the calculation:
* DOS(E_F): 7.9 states/eV per cell
* polymorph energy (0 for the lowest one): 157 meV per atom
* total moment: 0.006 Bohr magnetons per cell
* theoretical density: 7.32 g/cm3
* final energy: -28.7 eV per cell

Cell lengths 5.381, 5.381, 5.381 Å; angles 90.00, 90.00, 90.00 degrees
Space group Pm-3m (No. 221)
Symmetry-distinct sites (fractional):
1 Y 0.000 0.000 0.000 x1
2 Ho 0.000 0.500 0.500 x3
3 Rh 0.500 0.500 0.500 x1

First-principles (GGA-PBE) data for a relaxed structure of Y3Ho4Rh4, as listed in Alexandria via LeMat-Bulk.

Values from the calculation:
* DOS(E_F): 15.5 states/eV per cell
* total moment: 0.000 Bohr magnetons per cell
* theoretical density: 8.47 g/cm3
* final energy: -148.5 eV per cell

Cell lengths 3.759, 8.844, 15.779 Å; angles 90.00, 90.00, 90.00 degrees
Space group Immm (No. 71)
Symmetry-distinct sites (fractional):
1 Y 0.000 0.000 0.000 x2
2 Y 0.000 0.500 0.103 x4
3 Ho 0.000 0.312 0.335 x8
4 Rh 0.000 0.000 0.247 x4
5 Rh 0.000 0.210 0.500 x4

First-principles (GGA-PBE) data for a relaxed structure of YHo3Rh, as listed in Alexandria via LeMat-Bulk.

Values from the calculation:
* DOS(E_F): 11.8 states/eV per cell
* polymorph energy (0 for the lowest one): 88 meV per atom
* total moment: 0.002 Bohr magnetons per cell
* theoretical density: 7.62 g/cm3
* final energy: -58.1 eV per cell

Cell lengths 7.519, 6.497, 6.124 Å; angles 90.00, 90.00, 90.00 degrees
Space group Pmn2_1 (No. 31)
Symmetry-distinct sites (fractional):
1 Y 0.000 0.150 0.000 x2
2 Ho 0.000 0.849 0.486 x2
3 Ho 0.250 0.314 0.493 x4
4 Rh 0.000 0.503 0.741 x2

First-principles (GGA-PBE) data for a relaxed structure of YHo5Rh2, as listed in Alexandria via LeMat-Bulk.

Values from the calculation:
* DOS(E_F): 33.9 states/eV per cell
* total moment: 0.000 Bohr magnetons per cell
* theoretical density: 8.39 g/cm3
* final energy: -189.6 eV per cell

Cell lengths 3.772, 13.078, 17.956 Å; angles 90.00, 90.00, 90.00 degrees
Space group Cmcm (No. 63)
Symmetry-distinct sites (fractional):
1 Y 0.000 0.224 0.250 x4
2 Ho 0.000 0.050 0.750 x4
3 Ho 0.000 0.172 0.059 x8
4 Ho 0.000 0.440 0.089 x8
5 Rh 0.000 0.202 0.635 x8

First-principles (GGA-PBE) data for a relaxed structure of Ho4ZnRh, as listed in Alexandria via LeMat-Bulk.

Values from the calculation:
* DOS(E_F): 54.6 states/eV per cell
* polymorph energy (0 for the lowest one): 0 meV per atom
* total moment: 0.000 Bohr magnetons per cell
* theoretical density: 9.28 g/cm3
* final energy: -476.9 eV per cell

Cell lengths 13.333, 13.333, 13.333 Å; angles 90.00, 90.00, 90.00 degrees
Space group F-43m (No. 216)
Symmetry-distinct sites (fractional):
1 Ho 0.000 0.000 0.186 x24
2 Ho 0.059 0.250 0.250 x24
3 Ho 0.104 0.104 0.604 x16
4 Zn 0.171 0.171 0.829 x16
5 Rh 0.106 0.106 0.394 x16

First-principles (GGA-PBE) data for a relaxed structure of HoZn2Rh, as listed in Alexandria via LeMat-Bulk.

Values from the calculation:
* DOS(E_F): 6.6 states/eV per cell
* total moment: 0.000 Bohr magnetons per cell
* theoretical density: 9.67 g/cm3
* final energy: -64.7 eV per cell

Cell lengths 6.494, 6.494, 6.494 Å; angles 90.00, 90.00, 90.00 degrees
Space group Fm-3m (No. 225)
Symmetry-distinct sites (fractional):
1 Ho 0.000 0.000 0.000 x4
2 Zn 0.250 0.250 0.250 x8
3 Rh 0.000 0.000 0.500 x4

First-principles (GGA-PBE) data for a relaxed structure of Ho4ZnRh, as listed in Alexandria via LeMat-Bulk.

Values from the calculation:
* DOS(E_F): 17.2 states/eV per cell
* polymorph energy (0 for the lowest one): 196 meV per atom
* total moment: 0.001 Bohr magnetons per cell
* theoretical density: 8.52 g/cm3
* final energy: -57.3 eV per cell

Cell lengths 6.855, 6.855, 6.865 Å; angles 90.00, 90.11, 90.00 degrees
Space group C2/m (No. 12)
Symmetry-distinct sites (fractional):
1 Ho 0.250 0.250 0.242 x8
2 Zn 0.000 0.000 0.500 x2
3 Rh 0.000 0.500 0.000 x2

First-principles (GGA-PBE) data for a relaxed structure of Ho3Zn9Rh2, as listed in Alexandria via LeMat-Bulk.

Values from the calculation:
* DOS(E_F): 17.0 states/eV per cell
* total moment: 0.000 Bohr magnetons per cell
* theoretical density: 8.71 g/cm3
* final energy: -92.1 eV per cell

Cell lengths 4.338, 9.043, 12.535 Å; angles 90.00, 90.00, 90.00 degrees
Space group Immm (No. 71)
Symmetry-distinct sites (fractional):
1 Ho 0.000 0.000 0.000 x2
2 Ho 0.000 0.000 0.308 x4
3 Zn 0.000 0.278 0.128 x8
4 Zn 0.000 0.361 0.337 x8
5 Zn 0.000 0.500 0.000 x2
6 Rh 0.000 0.181 0.500 x4

First-principles (GGA-PBE) data for a relaxed structure of Ho6Zn2Rh, as listed in Alexandria via LeMat-Bulk.

Values from the calculation:
* DOS(E_F): 32.4 states/eV per cell
* total moment: 0.000 Bohr magnetons per cell
* theoretical density: 9.07 g/cm3
* final energy: -161.4 eV per cell

Cell lengths 9.440, 9.509, 9.983 Å; angles 90.00, 90.00, 90.00 degrees
Space group Immm (No. 71)
Symmetry-distinct sites (fractional):
1 Ho 0.000 0.174 0.249 x8
2 Ho 0.175 0.500 0.220 x8
3 Ho 0.234 0.311 0.500 x8
4 Zn 0.000 0.363 0.000 x4
5 Zn 0.128 0.000 0.500 x4
6 Rh 0.000 0.000 0.000 x2
7 Rh 0.000 0.500 0.500 x2

First-principles (GGA-PBE) data for a relaxed structure of HoZn2Rh3, as listed in Alexandria via LeMat-Bulk.

Values from the calculation:
* DOS(E_F): 4.8 states/eV per cell
* total moment: 0.000 Bohr magnetons per cell
* theoretical density: 10.67 g/cm3
* final energy: -65.3 eV per cell

Cell lengths 4.4458, 4.4458, 10.9871 Å; angles 90.00, 90.00, 120.00 degrees
Space group P-3m1 (No. 164)
Symmetry-distinct sites (fractional):
1 Ho 0.3333 0.6667 0.1731 x2
2 Zn 0.0000 0.0000 0.0000 x1
3 Zn 0.0000 0.0000 0.5000 x1
4 Zn 0.3333 0.6667 0.6612 x2
5 Rh 0.0000 0.0000 0.2652 x2
6 Rh 0.3333 0.6667 0.4260 x2
7 Rh 0.3333 0.6667 0.9172 x2

First-principles (GGA-PBE) data for a relaxed structure of HoZn4Rh2, as listed in Alexandria via LeMat-Bulk.

Values from the calculation:
* DOS(E_F): 5.9 states/eV per cell
* total moment: 0.000 Bohr magnetons per cell
* theoretical density: 8.98 g/cm3
* final energy: -55.3 eV per cell

Cell lengths 7.544, 7.544, 4.110 Å; angles 90.00, 90.00, 90.00 degrees
Space group P4_2/mnm (No. 136)
Symmetry-distinct sites (fractional):
1 Ho 0.000 0.000 0.000 x2
2 Zn 0.096 0.352 0.500 x8
3 Rh 0.214 0.786 0.500 x4

First-principles (GGA-PBE) data for a relaxed structure of Ho6ZnRh, as listed in Alexandria via LeMat-Bulk.

Values from the calculation:
* DOS(E_F): 18.1 states/eV per cell
* total moment: 0.000 Bohr magnetons per cell
* theoretical density: 9.17 g/cm3
* final energy: -76.6 eV per cell

Cell lengths 4.974, 4.974, 16.942 Å; angles 90.00, 90.00, 90.00 degrees
Space group I4/mmm (No. 139)
Symmetry-distinct sites (fractional):
1 Ho 0.000 0.000 0.248 x4
2 Ho 0.000 0.500 0.099 x8
3 Zn 0.000 0.000 0.000 x2
4 Rh 0.000 0.000 0.500 x2

First-principles (GGA-PBE) data for a relaxed structure of Ho8ZnRh2, as listed in Alexandria via LeMat-Bulk.

Values from the calculation:
* DOS(E_F): 25.1 states/eV per cell
* total moment: 0.000 Bohr magnetons per cell
* theoretical density: 8.96 g/cm3
* final energy: -112.1 eV per cell

Cell lengths 8.509, 13.083, 5.476 Å; angles 90.00, 104.75, 90.00 degrees
Space group Cm (No. 8)
Symmetry-distinct sites (fractional):
1 Ho 0.000 0.000 0.000 x2
2 Ho 0.082 0.372 0.774 x4
3 Ho 0.177 0.128 0.607 x4
4 Ho 0.259 0.500 0.383 x2
5 Ho 0.380 0.239 0.191 x4
6 Zn 0.379 0.000 0.200 x2
7 Rh 0.380 0.305 0.691 x4

First-principles (GGA-PBE) data for a relaxed structure of Ho8Zn2Rh, as listed in Alexandria via LeMat-Bulk.

Values from the calculation:
* DOS(E_F): 17.9 states/eV per cell
* polymorph energy (0 for the lowest one): 0 meV per atom
* total moment: 0.000 Bohr magnetons per cell
* theoretical density: 9.04 g/cm3
* final energy: -99.0 eV per cell

Cell lengths 17.359, 5.094, 6.689 Å; angles 90.00, 105.15, 90.00 degrees
Space group C2/m (No. 12)
Symmetry-distinct sites (fractional):
1 Ho 0.028 0.000 0.282 x4
2 Ho 0.090 0.500 0.938 x4
3 Ho 0.158 0.500 0.464 x4
4 Ho 0.201 0.000 0.815 x4
5 Zn 0.190 0.000 0.229 x4
6 Rh 0.000 0.500 0.500 x2

First-principles (GGA-PBE) data for a relaxed structure of Ho2ZnRh3, as listed in Alexandria via LeMat-Bulk.

Values from the calculation:
* DOS(E_F): 7.7 states/eV per cell
* total moment: 0.000 Bohr magnetons per cell
* theoretical density: 10.92 g/cm3
* final energy: -73.9 eV per cell

Cell lengths 5.5318, 5.5318, 8.0813 Å; angles 90.00, 90.00, 120.00 degrees
Space group P6_3/mmc (No. 194)
Symmetry-distinct sites (fractional):
1 Ho 0.3333 0.6667 0.0587 x4
2 Zn 0.0000 0.0000 0.0000 x2
3 Rh 0.1685 0.3371 0.7500 x6

First-principles (GGA-PBE) data for a relaxed structure of HoZnRh2, as listed in Alexandria via LeMat-Bulk.

Values from the calculation:
* DOS(E_F): 8.6 states/eV per cell
* total moment: 0.000 Bohr magnetons per cell
* theoretical density: 10.88 g/cm3
* final energy: -93.0 eV per cell

Cell lengths 6.433, 6.433, 6.433 Å; angles 90.00, 90.00, 90.00 degrees
Space group Fm-3m (No. 225)
Symmetry-distinct sites (fractional):
1 Ho 0.000 0.000 0.000 x4
2 Zn 0.000 0.000 0.500 x4
3 Rh 0.250 0.250 0.250 x8